Computed, not measured: a relaxed structure of Ir2Ru at the GGA-PBE level of DFT.

For the magnetic moment, the calculation gives 0.00 μB per formula unit. As for the energy above the most stable polymorph in this dataset: 0.131 eV/atom. As for the formation energy: 9.3 kJ per mole of atoms.

It has space group P-62m (No. 189), with a = 7.4282 Å, b = 7.4282 Å, c = 2.7263 Å, α = 90.00°, β = 90.00° and γ = 120.00°. Symmetry generates all atoms from Ir at (0.0000, 0.2992, 0.0000), Ir at (0.0000, 0.6352, 0.5000), Ru at (0.0000, 0.0000, 0.5000) and Ru at (0.3333, 0.6667, 0.0000).